## Ca2WN2 (GGA-PBEsol)

Data for a relaxed Ca2WN2 crystal.

Its crystal system is monoclinic. The distance to the lowest polymorph of the same formula is 0 meV per atom. Its raw formation energy is -0.81 eV per atom.

Lattice parameters (Å, degrees): 5.0894 6.0027 6.5157 113.91 90.00 115.08
Closest atoms and distances in Å follow each position.
Element x y z (fractional)
W: 0.6443 0.2885 0.1281  3 N 1.88-2.09
W: 0.3557 0.7115 0.8719  3 N 1.88-2.09
N: 0.5021 0.0042 0.7816  2 W 1.93-2.09
N: 0.4979 0.9958 0.2184  2 W 1.93-2.09
N: 0.1833 0.3665 0.6140  1 W 1.88
N: 0.8167 0.6335 0.3860  1 W 1.88
Ca: 0.9759 0.9519 0.2328  4 N 2.35-2.56
Ca: 0.6776 0.3552 0.6270  5 N 2.50-2.62
Ca: 0.3224 0.6448 0.3730  5 N 2.50-2.62
Ca: 0.0241 0.0481 0.7672  4 N 2.35-2.56